# 1
LaTlRh | PBE-GGA | optimized geometry

Cell: 6.851 6.851 6.851 Å, 90.00 90.00 90.00°
Element x y z (fractional)
La1 0.000 0.000 0.000
La2 0.000 0.500 0.500
La3 0.500 0.000 0.500
La4 0.500 0.500 0.000
Tl1 0.000 0.000 0.500
Tl2 0.000 0.500 0.000
Tl3 0.500 0.000 0.000
Tl4 0.500 0.500 0.500
Rh1 0.250 0.250 0.250
Rh2 0.250 0.750 0.750
Rh3 0.750 0.250 0.750
Rh4 0.750 0.750 0.250

D(E_F): 7.3 states/eV per cell
Energy of formation from the pure elements: -481 meV per atom
Space group: No. 216
Total moment: 0.00 μB/f.u.

# 2
LaTl2Rh | PBE-GGA | optimized geometry

Cell: 4.285 4.285 23.082 Å, 90.00 90.00 90.00°
Element x y z (fractional)
La1 0.000 0.000 0.000
La2 0.000 0.500 0.250
La3 0.500 0.000 0.750
La4 0.500 0.500 0.500
Tl1 0.233 0.250 0.625
Tl2 0.250 0.733 0.875
Tl3 0.250 0.767 0.375
Tl4 0.267 0.250 0.125
Tl5 0.733 0.750 0.125
Tl6 0.750 0.233 0.375
Tl7 0.750 0.267 0.875
Tl8 0.767 0.750 0.625
Rh1 0.000 0.000 0.500
Rh2 0.000 0.500 0.750
Rh3 0.500 0.000 0.250
Rh4 0.500 0.500 0.000

D(E_F): 7.9 states/eV per cell
Energy of formation from the pure elements: -136 meV per atom
Space group: No. 122
Total moment: 0.00 μB/f.u.

# 3
LaTlRh | PBE-GGA | optimized geometry

Cell: 10.367 4.288 7.806 Å, 90.00 121.63 90.00°
Element x y z (fractional)
La1 0.073 0.000 0.334
La2 0.427 0.500 0.666
La3 0.573 0.500 0.334
La4 0.927 0.000 0.666
Tl1 0.176 0.500 0.078
Tl2 0.324 0.000 0.922
Tl3 0.676 0.000 0.078
Tl4 0.824 0.500 0.922
Rh1 0.146 0.500 0.665
Rh2 0.354 0.000 0.335
Rh3 0.646 0.000 0.665
Rh4 0.854 0.500 0.335

D(E_F): 7.9 states/eV per cell
Energy of formation from the pure elements: -542 meV per atom
Space group: No. 12
Total moment: 0.00 μB/f.u.

# 4
LaTlRh2 | PBE-GGA | optimized geometry

Cell: 4.174 3.922 10.384 Å, 90.00 90.00 90.00°
Element x y z (fractional)
La1 0.000 0.000 0.000
La2 0.000 0.500 0.500
Tl1 0.500 0.000 0.290
Tl2 0.500 0.500 0.790
Rh1 0.000 0.000 0.733
Rh2 0.000 0.500 0.233
Rh3 0.500 0.000 0.567
Rh4 0.500 0.500 0.067

D(E_F): 4.5 states/eV per cell
Energy of formation from the pure elements: -449 meV per atom
Space group: No. 38
Total moment: 0.00 μB/f.u.

# 5
LaTl2Rh | PBE-GGA | optimized geometry

Cell: 3.955 5.455 9.643 Å, 90.00 90.00 90.00°
Element x y z (fractional)
La1 0.000 0.000 0.000
La2 0.500 0.500 0.500
Tl1 0.000 0.000 0.590
Tl2 0.000 0.500 0.798
Tl3 0.500 0.000 0.298
Tl4 0.500 0.500 0.090
Rh1 0.000 0.500 0.309
Rh2 0.500 0.000 0.809

D(E_F): 5.2 states/eV per cell
Energy of formation from the pure elements: -229 meV per atom
Space group: No. 44
Total moment: 0.00 μB/f.u.

# 6
LaTl2Rh | PBE-GGA | optimized geometry

Cell: 7.330 7.330 7.330 Å, 90.00 90.00 90.00°
Element x y z (fractional)
La1 0.000 0.000 0.000
La2 0.000 0.500 0.500
La3 0.500 0.000 0.500
La4 0.500 0.500 0.000
Tl1 0.000 0.000 0.500
Tl2 0.000 0.500 0.000
Tl3 0.250 0.250 0.750
Tl4 0.250 0.750 0.250
Tl5 0.500 0.000 0.000
Tl6 0.500 0.500 0.500
Tl7 0.750 0.250 0.250
Tl8 0.750 0.750 0.750
Rh1 0.250 0.250 0.250
Rh2 0.250 0.750 0.750
Rh3 0.750 0.250 0.750
Rh4 0.750 0.750 0.250

D(E_F): 7.7 states/eV per cell
Energy of formation from the pure elements: -206 meV per atom
Space group: No. 216
Total moment: 0.00 μB/f.u.

# 7
LaTl2Rh2 | PBE-GGA | optimized geometry

Cell: 4.423 4.423 11.915 Å, 90.00 90.00 90.00°
Element x y z (fractional)
La1 0.000 0.000 0.000
La2 0.500 0.500 0.500
Tl1 0.000 0.500 0.250
Tl2 0.000 0.500 0.750
Tl3 0.500 0.000 0.250
Tl4 0.500 0.000 0.750
Rh1 0.000 0.000 0.396
Rh2 0.000 0.000 0.604
Rh3 0.500 0.500 0.104
Rh4 0.500 0.500 0.896

D(E_F): 7.9 states/eV per cell
Energy of formation from the pure elements: -236 meV per atom
Space group: No. 139
Total moment: 0.00 μB/f.u.

# 8
La3Tl3Rh2 | PBE-GGA | optimized geometry

Cell: 17.049 4.874 5.249 Å, 90.00 99.80 90.00°
Element x y z (fractional)
La1 0.000 0.000 0.000
La2 0.171 0.000 0.593
La3 0.329 0.500 0.407
La4 0.500 0.500 0.000
La5 0.671 0.500 0.593
La6 0.829 0.000 0.407
Tl1 0.000 0.500 0.500
Tl2 0.133 0.500 0.066
Tl3 0.367 0.000 0.934
Tl4 0.500 0.000 0.500
Tl5 0.633 0.000 0.066
Tl6 0.867 0.500 0.934
Rh1 0.215 0.000 0.123
Rh2 0.285 0.500 0.877
Rh3 0.715 0.500 0.123
Rh4 0.785 0.000 0.877

D(E_F): 8.7 states/eV per cell
Energy of formation from the pure elements: -556 meV per atom
Space group: No. 12
Total moment: 0.00 μB/f.u.